Record 1
# Nd2ZnAgO5

A relaxed Nd2ZnAgO5 crystal (PBE, Alexandria via LeMat-Bulk).

a b c (Å): 5.7610 6.7879 6.7879
angles (deg): 90.00 90.00 90.00
Each line ends with the local moment (μB).
Atoms (fractional coordinates):
Zn: 0.0000 0.0000 0.5000  0.12
O: 0.7509 0.6344 0.8656  0.16
Zn: 0.0000 0.5000 0.0000  0.12
O: 0.2491 0.3656 0.1344  0.16
Nd: 0.5000 0.8250 0.6750  0.01
Nd: 0.5000 0.3250 0.8250  0.01
O: 0.5000 0.0000 0.0000  0.12
O: 0.7509 0.1344 0.6344  0.16
O: 0.5000 0.5000 0.5000  0.12
Nd: 0.5000 0.1750 0.3250  0.01
O: 0.2491 0.6344 0.8656  0.16
O: 0.2491 0.1344 0.6344  0.16
O: 0.7509 0.3656 0.1344  0.16
O: 0.2491 0.8656 0.3656  0.16
Nd: 0.5000 0.6750 0.1750  0.01
Ag: 0.0000 0.0000 0.0000  0.01
O: 0.7509 0.8656 0.3656  0.16
Ag: 0.0000 0.5000 0.5000  0.01

Output
**DOS(E_F)**: 6.07 states/eV per cell
**Energy relative to the elements, uncorrected**: -17.53 eV/f.u.
**E**: -111.96 eV/cell
**Symmetry**: No. 127

Record 2
# Nd5Ag2Os

A relaxed Nd5Ag2Os crystal (PBE, Alexandria via LeMat-Bulk).

a b c (Å): 4.8126 7.8522 12.0994
angles (deg): 90.00 90.00 90.00
Atoms (fractional coordinates):
Nd: 0.5000 0.8166 0.9255
Ag: 0.5000 0.9254 0.6662
Ag: 0.5000 0.0746 0.3338
Nd: 0.5000 0.3166 0.5745
Nd: 0.0000 0.8500 0.2043
Nd: 0.0000 0.5000 0.0000
Nd: 0.0000 0.0000 0.5000
Nd: 0.0000 0.3500 0.2957
Ag: 0.5000 0.5746 0.1662
Os: 0.0000 0.0000 0.0000
Nd: 0.5000 0.1834 0.0745
Nd: 0.0000 0.1500 0.7957
Os: 0.0000 0.5000 0.5000
Ag: 0.5000 0.4254 0.8338
Nd: 0.0000 0.6500 0.7043
Nd: 0.5000 0.6834 0.4255

Output
**DOS(E_F)**: 15.19 states/eV per cell
**Energy of formation from the pure elements**: -1.3 eV/f.u.
**E**: -84.23 eV/cell
**Symmetry**: No. 55

Record 3
# Nd4Ag3Os

A relaxed Nd4Ag3Os crystal (PBE, Alexandria via LeMat-Bulk).

a b c (Å): 3.5854 3.5854 15.6866
angles (deg): 90.00 90.00 90.00
Atoms (fractional coordinates):
Ag: 0.5000 0.5000 0.5000
Nd: 0.0000 0.0000 0.6275
Ag: 0.5000 0.5000 0.7539
Nd: 0.0000 0.0000 0.8901
Ag: 0.5000 0.5000 0.2461
Os: 0.5000 0.5000 0.0000
Nd: 0.0000 0.0000 0.3725
Nd: 0.0000 0.0000 0.1099

Output
**DOS(E_F)**: 5.61 states/eV per cell
**Energy of formation from the pure elements**: -1.4 eV/f.u.
**E**: -40.30 eV/cell
**Symmetry**: No. 123

Record 4
# Nd8Ag2Os

A relaxed Nd8Ag2Os crystal (PBE, Alexandria via LeMat-Bulk).

a b c (Å): 5.3333 7.1133 9.3936
angles (deg): 105.99 106.49 90.00
Atoms (fractional coordinates):
Nd: 0.7986 0.6881 0.5971
Nd: 0.5887 0.4344 0.1775
Ag: 0.1822 0.7182 0.3644
Nd: 0.4113 0.5656 0.8225
Nd: 0.3416 0.0257 0.6831
Nd: 0.6584 0.9743 0.3169
Os: 0.5000 0.0000 0.0000
Nd: 0.2014 0.3119 0.4029
Nd: 0.9753 0.2065 0.9505
Ag: 0.8178 0.2818 0.6356
Nd: 0.0248 0.7935 0.0495

Output
**DOS(E_F)**: 12.74 states/eV per cell
**Energy of formation from the pure elements**: -0.9 eV/f.u.
**E**: -56.01 eV/cell
**Excess energy over the best structure of this formula in the dataset**: 0.00 eV per formula unit
**Symmetry**: No. 12

Record 5
# Nd8AgOs2

A relaxed Nd8AgOs2 crystal (PBE, Alexandria via LeMat-Bulk).

a b c (Å): 5.8936 7.9306 7.9306
angles (deg): 112.15 98.20 98.20
Atoms (fractional coordinates):
Nd: 0.4106 0.6731 0.9340
Ag: 0.0031 0.0021 0.0021
Os: 0.4989 0.3109 0.6948
Nd: 0.5896 0.3339 0.0725
Os: 0.4989 0.6948 0.3109
Nd: 0.7936 0.6218 0.6218
Nd: 0.2049 0.3829 0.3829
Nd: 0.4106 0.9340 0.6731
Nd: 0.0000 0.7625 0.2453
Nd: 0.5896 0.0725 0.3339
Nd: 0.0000 0.2453 0.7625

Output
**DOS(E_F)**: 13.69 states/eV per cell
**Energy of formation from the pure elements**: -0.3 eV/f.u.
**E**: -63.72 eV/cell
**Symmetry**: No. 8

Record 6
# Nd2AgOs

A relaxed Nd2AgOs crystal (PBE, Alexandria via LeMat-Bulk).

a b c (Å): 3.5071 3.5071 7.9001
angles (deg): 90.00 90.00 90.00
Atoms (fractional coordinates):
Ag: 0.5000 0.5000 0.5000
Nd: 0.0000 0.0000 0.2213
Nd: 0.0000 0.0000 0.7787
Os: 0.5000 0.5000 0.0000

Output
**DOS(E_F)**: 2.45 states/eV per cell
**Energy of formation from the pure elements**: -0.5 eV/f.u.
**E**: -24.16 eV/cell
**Symmetry**: No. 123

Record 7
# Nd12Ag6Os

A relaxed Nd12Ag6Os crystal (PBE, Alexandria via LeMat-Bulk).

a b c (Å): 8.3406 8.3406 8.3406
angles (deg): 93.10 93.10 93.10
Atoms (fractional coordinates):
Ag: 0.1398 0.7391 0.3356
Nd: 0.8048 0.5620 0.4583
Ag: 0.8602 0.2609 0.6644
Nd: 0.1952 0.4380 0.5417
Nd: 0.4380 0.5417 0.1952
Ag: 0.7391 0.3356 0.1398
Ag: 0.6644 0.8602 0.2609
Ag: 0.2609 0.6644 0.8602
Os: 0.0000 0.0000 0.0000
Nd: 0.0298 0.9062 0.6794
Nd: 0.5620 0.4583 0.8048
Nd: 0.4583 0.8048 0.5620
Nd: 0.5417 0.1952 0.4380
Nd: 0.3206 0.9702 0.0938
Ag: 0.3356 0.1398 0.7391
Nd: 0.0938 0.3206 0.9702
Nd: 0.6794 0.0298 0.9062
Nd: 0.9702 0.0938 0.3206
Nd: 0.9062 0.6794 0.0298

Output
**DOS(E_F)**: 19.19 states/eV per cell
**Energy of formation from the pure elements**: -1.2 eV/f.u.
**E**: -86.75 eV/cell
**Symmetry**: No. 148

Record 8
# Nd5Ag2Os2

A relaxed Nd5Ag2Os2 crystal (PBE, Alexandria via LeMat-Bulk).

a b c (Å): 7.7875 7.7569 8.9077
angles (deg): 90.00 64.08 90.00
Atoms (fractional coordinates):
Ag: 0.2182 0.0000 0.5636
Nd: 0.0579 0.6833 0.2529
Nd: 0.5579 0.8167 0.2529
Nd: 0.0000 0.0000 0.0000
Nd: 0.4421 0.1833 0.7471
Ag: 0.7182 0.5000 0.5636
Nd: 0.1891 0.1833 0.2529
Nd: 0.9421 0.3167 0.7471
Nd: 0.5000 0.5000 0.0000
Os: 0.1145 0.3876 0.0000
Nd: 0.8109 0.8167 0.7471
Os: 0.6145 0.1124 0.0000
Nd: 0.3109 0.6833 0.7471
Ag: 0.2818 0.5000 0.4364
Os: 0.8855 0.6124 0.0000
Nd: 0.6891 0.3167 0.2529
Ag: 0.7818 0.0000 0.4364
Os: 0.3855 0.8876 0.0000

Output
**DOS(E_F)**: 14.28 states/eV per cell
**Energy of formation from the pure elements**: -1.2 eV/f.u.
**E**: -106.42 eV/cell
**Symmetry**: No. 64

Record 9
# Nd7Ag2Os2

A relaxed Nd7Ag2Os2 crystal (PBE, Alexandria via LeMat-Bulk).

a b c (Å): 6.9683 7.2038 6.9683
angles (deg): 90.00 107.61 90.00
Atoms (fractional coordinates):
Os: 0.7058 0.0000 0.2942
Nd: 0.5000 0.2459 0.5000
Ag: 0.8278 0.5000 0.8278
Nd: 0.5000 0.2552 0.0000
Ag: 0.1722 0.5000 0.1722
Nd: 0.5000 0.7541 0.5000
Os: 0.2942 0.0000 0.7058
Nd: 0.0000 0.7448 0.5000
Nd: 0.5000 0.7448 0.0000
Nd: 0.0000 0.2552 0.5000
Nd: 0.0000 0.0000 0.0000

Output
**DOS(E_F)**: 9.34 states/eV per cell
**Energy of formation from the pure elements**: -0.6 eV/f.u.
**E**: -62.13 eV/cell
**Symmetry**: No. 65

Record 10
# Nd4Ag2Os

A relaxed Nd4Ag2Os crystal (PBE, Alexandria via LeMat-Bulk).

a b c (Å): 5.1877 5.1877 8.9422
angles (deg): 73.14 73.14 60.00
Atoms (fractional coordinates):
Os: 0.0000 0.0000 0.0000
Nd: 0.1182 0.1182 0.6455
Ag: 0.2451 0.2451 0.2646
Nd: 0.8818 0.8818 0.3545
Nd: 0.6301 0.6301 0.1098
Ag: 0.7549 0.7549 0.7354
Nd: 0.3699 0.3699 0.8902

Output
**DOS(E_F)**: 6.86 states/eV per cell
**Energy of formation from the pure elements**: -0.5 eV/f.u.
**E**: -36.49 eV/cell
**Symmetry**: No. 166

Record 11
# Nd8Ag2Os

A relaxed Nd8Ag2Os crystal (PBE, Alexandria via LeMat-Bulk).

a b c (Å): 6.3904 9.0280 9.0280
angles (deg): 126.76 105.24 105.24
Atoms (fractional coordinates):
Nd: 0.6618 0.4117 0.1706
Nd: 0.9897 0.1724 0.7907
Ag: 0.4512 0.7080 0.2837
Nd: 0.3226 0.8671 0.6431
Nd: 0.7672 0.7059 0.7059
Nd: 0.3226 0.6431 0.8671
Os: 0.2829 0.0249 0.0249
Nd: 0.6618 0.1706 0.4117
Nd: 0.0989 0.2558 0.2558
Nd: 0.9897 0.7907 0.1724
Ag: 0.4512 0.2837 0.7080

Output
**DOS(E_F)**: 12.95 states/eV per cell
**Energy of formation from the pure elements**: -0.5 eV/f.u.
**E**: -55.55 eV/cell
**Excess energy over the best structure of this formula in the dataset**: 0.46 eV per formula unit
**Symmetry**: No. 8

Record 12
# PmNdAgOs

A relaxed PmNdAgOs crystal (PBE, Alexandria via LeMat-Bulk).

a b c (Å): 5.0926 5.0926 5.0926
angles (deg): 60.00 60.00 60.00
Atoms (fractional coordinates):
Os: 0.7500 0.7500 0.7500
Nd: 0.0000 0.0000 0.0000
Pm: 0.5000 0.5000 0.5000
Ag: 0.2500 0.2500 0.2500

Output
**DOS(E_F)**: 2.24 states/eV per cell
**Energy of formation from the pure elements**: -0.5 eV/f.u.
**E**: -24.07 eV/cell
**Symmetry**: No. 216

Record 13
# NdScAgOs

A relaxed NdScAgOs crystal (PBE, Alexandria via LeMat-Bulk).

a b c (Å): 4.9088 4.9088 4.9088
angles (deg): 60.00 60.00 60.00
Atoms (fractional coordinates):
Ag: 0.0000 0.0000 0.0000
Nd: 0.7500 0.7500 0.7500
Os: 0.5000 0.5000 0.5000
Sc: 0.2500 0.2500 0.2500

Output
**DOS(E_F)**: 3.12 states/eV per cell
**Energy of formation from the pure elements**: -0.6 eV/f.u.
**E**: -25.80 eV/cell
**Symmetry**: No. 216

Record 14
# NdSmAgOs

A relaxed NdSmAgOs crystal (PBE, Alexandria via LeMat-Bulk).

a b c (Å): 5.0802 5.0802 5.0802
angles (deg): 60.00 60.00 60.00
Atoms (fractional coordinates):
Nd: 0.5000 0.5000 0.5000
Os: 0.7500 0.7500 0.7500
Ag: 0.2500 0.2500 0.2500
Sm: 0.0000 0.0000 0.0000

Output
**DOS(E_F)**: 2.40 states/eV per cell
**Energy of formation from the pure elements**: -0.5 eV/f.u.
**E**: -24.09 eV/cell
**Symmetry**: No. 216

Record 15
# TbNdAgOs

A relaxed TbNdAgOs crystal (PBE, Alexandria via LeMat-Bulk).

a b c (Å): 5.0416 5.0416 5.0416
angles (deg): 60.00 60.00 60.00
Atoms (fractional coordinates):
Tb: 0.0000 0.0000 0.0000
Os: 0.7500 0.7500 0.7500
Ag: 0.2500 0.2500 0.2500
Nd: 0.5000 0.5000 0.5000

Output
**DOS(E_F)**: 2.93 states/eV per cell
**Energy of formation from the pure elements**: -0.7 eV/f.u.
**E**: -24.14 eV/cell
**Symmetry**: No. 216

Record 16
# NdThAgOs

A relaxed NdThAgOs crystal (PBE, Alexandria via LeMat-Bulk).

a b c (Å): 5.1382 5.1382 5.1382
angles (deg): 60.00 60.00 60.00
Atoms (fractional coordinates):
Os: 0.7500 0.7500 0.7500
Th: 0.5000 0.5000 0.5000
Nd: 0.0000 0.0000 0.0000
Ag: 0.2500 0.2500 0.2500

Output
**DOS(E_F)**: 5.08 states/eV per cell
**Energy of formation from the pure elements**: -0.4 eV/f.u.
**E**: -26.67 eV/cell
**Symmetry**: No. 216

Record 17
# NdYAgOs

A relaxed NdYAgOs crystal (PBE, Alexandria via LeMat-Bulk).

a b c (Å): 5.0390 5.0390 5.0390
angles (deg): 60.00 60.00 60.00
Atoms (fractional coordinates):
Nd: 0.2500 0.2500 0.2500
Y: 0.7500 0.7500 0.7500
Os: 0.5000 0.5000 0.5000
Ag: 0.0000 0.0000 0.0000

Output
**DOS(E_F)**: 3.01 states/eV per cell
**Energy of formation from the pure elements**: -0.7 eV/f.u.
**E**: -25.97 eV/cell
**Symmetry**: No. 216

Record 18
# NdAgP

A relaxed NdAgP crystal (PBE, Alexandria via LeMat-Bulk).

a b c (Å): 5.7436 4.0615 10.4953
angles (deg): 113.22 90.00 135.00
Atoms (fractional coordinates):
Nd: 0.9305 0.8609 0.1760
P: 0.4077 0.8153 0.1534
Ag: 0.3088 0.6176 0.5575
P: 0.5923 0.1847 0.8466
Nd: 0.0695 0.1391 0.8240
Ag: 0.6912 0.3824 0.4425

Output
**DOS(E_F)**: 2.28 states/eV per cell
**Energy of formation from the pure elements**: -2.4 eV/f.u.
**E**: -30.93 eV/cell
**Symmetry**: No. 12

Record 19
# Nd2PaAg

A relaxed Nd2PaAg crystal (PBE, Alexandria via LeMat-Bulk).

a b c (Å): 3.4908 3.4908 9.0422
angles (deg): 90.00 90.00 90.00
Atoms (fractional coordinates):
Pa: 0.5000 0.5000 0.5000
Nd: 0.0000 0.0000 0.2332
Ag: 0.5000 0.5000 0.0000
Nd: 0.0000 0.0000 0.7668

Output
**DOS(E_F)**: 4.38 states/eV per cell
**Energy of formation from the pure elements**: 0.1 eV/f.u.
**E**: -21.82 eV/cell
**Excess energy over the best structure of this formula in the dataset**: 0.00 eV per formula unit
**Symmetry**: No. 123

Record 20
# Nd2PaAg

A relaxed Nd2PaAg crystal (PBE, Alexandria via LeMat-Bulk).

a b c (Å): 3.4011 5.6583 5.6583
angles (deg): 90.00 90.00 90.00
Atoms (fractional coordinates):
Nd: 0.0000 0.0000 0.5000
Pa: 0.5000 0.5000 0.5000
Nd: 0.0000 0.5000 0.0000
Ag: 0.5000 0.0000 0.0000

Output
**DOS(E_F)**: 7.19 states/eV per cell
**Energy of formation from the pure elements**: 0.5 eV/f.u.
**E**: -21.36 eV/cell
**Excess energy over the best structure of this formula in the dataset**: 0.46 eV per formula unit
**Symmetry**: No. 123

Record 21
# NdPaAg2

A relaxed NdPaAg2 crystal (PBE, Alexandria via LeMat-Bulk).

a b c (Å): 3.2514 3.2514 9.0379
angles (deg): 90.00 90.00 90.00
Each line ends with the local moment (μB).
Atoms (fractional coordinates):
Ag: 0.0000 0.0000 0.2443  0.00
Ag: 0.0000 0.0000 0.7557  0.00
Pa: 0.5000 0.5000 0.0000  0.62
Nd: 0.5000 0.5000 0.5000  0.03

Output
**DOS(E_F)**: 6.06 states/eV per cell
**Energy of formation from the pure elements**: 0.3 eV/f.u.
**E**: -19.70 eV/cell
**Symmetry**: No. 123

Record 22
# Nd2PaAg

A relaxed Nd2PaAg crystal (PBE, Alexandria via LeMat-Bulk).

a b c (Å): 3.2883 3.2883 11.9327
angles (deg): 82.08 82.08 60.00
Atoms (fractional coordinates):
Pa: 0.0000 0.0000 0.0000
Ag: 0.5000 0.5000 0.5000
Nd: 0.9079 0.9079 0.2764
Nd: 0.0921 0.0921 0.7236

Output
**DOS(E_F)**: 5.12 states/eV per cell
**Energy of formation from the pure elements**: 1.2 eV/f.u.
**E**: -20.67 eV/cell
**Excess energy over the best structure of this formula in the dataset**: 1.14 eV per formula unit
**Symmetry**: No. 166

Record 23
# NdPaAg

A relaxed NdPaAg crystal (PBE, Alexandria via LeMat-Bulk).

a b c (Å): 5.3126 4.5908 9.4061
angles (deg): 80.60 73.60 54.65
Each line ends with the local moment (μB).
Atoms (fractional coordinates):
Pa: 0.2500 0.5000 0.5000  1.71
Ag: 0.8220 0.3559 0.0000  0.00
Ag: 0.1780 0.6441 0.0000  0.00
Pa: 0.7500 0.5000 0.5000  1.71
Nd: 0.6001 0.0000 0.7999  0.02
Nd: 0.3999 0.0000 0.2001  0.02

Output
**DOS(E_F)**: 8.76 states/eV per cell
**Energy of formation from the pure elements**: 1.5 eV/f.u.
**E**: -31.28 eV/cell
**Symmetry**: No. 69

Record 24
# NdPaAgPb

A relaxed NdPaAgPb crystal (PBE, Alexandria via LeMat-Bulk).

a b c (Å): 5.3936 5.3936 5.3936
angles (deg): 60.00 60.00 60.00
Each line ends with the local moment (μB).
Atoms (fractional coordinates):
Pb: 0.2500 0.2500 0.2500  -0.02
Ag: 0.7500 0.7500 0.7500  0.05
Nd: 0.0000 0.0000 0.0000  0.38
Pa: 0.5000 0.5000 0.5000  1.60

Output
**DOS(E_F)**: 9.06 states/eV per cell
**Energy of formation from the pure elements**: 0.1 eV/f.u.
**E**: -20.68 eV/cell
**Symmetry**: No. 216

Record 25
# Nd2PaAgS6

A relaxed Nd2PaAgS6 crystal (PBE, Alexandria via LeMat-Bulk).

a b c (Å): 6.6574 6.4279 6.4279
angles (deg): 90.00 90.00 90.00
Atoms (fractional coordinates):
Nd: 0.9996 0.5000 0.0000
S: 0.7499 0.2437 0.7563
S: 0.1923 0.5000 0.5000
S: 0.1500 0.0000 0.0000
Ag: 0.5094 0.0000 0.0000
Nd: 0.9996 0.0000 0.5000
S: 0.7499 0.2437 0.2437
S: 0.7499 0.7563 0.2437
Pa: 0.5961 0.5000 0.5000
S: 0.7499 0.7563 0.7563

Output
**Energy relative to the elements, uncorrected**: -12.82 eV/f.u.
**E**: -59.47 eV/cell
**Symmetry**: No. 99